<w>
Entry from the Alexandria database: U2SbS after structural relaxation (PBE).

a b c (Å): 3.976 3.976 7.592
angles (deg): 74.82 74.82 60.00
Site moments in Bohr magnetons follow the coordinates.
Fractional coordinates of all 4 atoms:
S: 0.668 0.668 0.996  -0.07
U: 0.264 0.264 0.209  2.37
U: 0.069 0.069 0.792  2.21
Sb: 0.499 0.499 0.504  -0.09

Output
* size of the total moment: 5.06 μB/f.u.
* volume: 99.1 Å³/f.u.

<x>
Entry from the Alexandria database: U2SbS after structural relaxation (PBE).

a b c (Å): 4.122 4.122 7.109
angles (deg): 73.15 73.15 60.00
Site moments in Bohr magnetons follow the coordinates.
Fractional coordinates of all 4 atoms:
Sb: 0.000 0.000 0.000  -0.07
S: 0.500 0.500 0.500  -0.08
U: 0.765 0.765 0.706  2.30
U: 0.235 0.235 0.294  2.30

Output
* size of the total moment: 5.05 μB/f.u.
* volume: 98.6 Å³/f.u.

Stability check: which of them is least stable? <w>.